Crystalline NbAl2InCu at its relaxed geometry, computed with PBE.

Structure (extended XYZ):
```
5
Lattice="5.143 0.000 0.000 0.000 5.143 0.000 0.000 0.000 4.778" Properties=species:S:1:pos:R:3 pbc="T T T"
Nb 0.000 0.000 0.000
Al 0.000 2.572 0.000
Al 2.572 0.000 0.000
In 2.572 2.572 2.389
Cu 0.000 0.000 2.389
```

Summary:
The value obtained for the total energy is -19.8 eV per cell. The calculation puts the formation energy at 909 meV per atom. For the magnetization, the calculation gives 0.0 μB/cell. The space group is P4/mmm (123).

=====

Crystalline Na3Pu4S8 at its relaxed geometry, computed with PBE.

Structure (extended XYZ):
```
15
Lattice="5.595 -5.743 0.000 5.595 5.743 0.000 -5.564 0.000 5.679" Properties=species:S:1:pos:R:3 pbc="T T T"
Na 0.000 0.000 0.000
Na 2.797 2.872 0.000
Na 2.797 -2.872 0.000
Pu -2.782 0.000 2.839
Pu 0.015 2.872 2.839
Pu 0.015 -2.872 2.839
Pu 5.595 0.000 0.000
S 2.813 3.013 2.839
S -2.625 0.000 5.471
S -0.032 0.000 2.910
S 5.595 2.782 0.000
S 5.595 -2.782 0.000
S 5.657 0.000 2.769
S 8.251 0.000 0.208
S 2.813 -3.013 2.839
```

Summary:
The formation energy without anion corrections comes out at -1.436 eV/atom. The value obtained for the total energy is -115.8 eV per cell. For the magnetization, the calculation gives 1.1 μB/cell. The space group is C2/m (12).

=====

Crystalline SrScRe2Si at its relaxed geometry, computed with PBE.

Structure (extended XYZ):
```
5
Lattice="4.767 0.000 0.000 0.000 4.767 0.000 0.000 0.000 4.917" Properties=species:S:1:pos:R:3 pbc="T T T"
Sr 0.000 0.000 0.000
Sc 0.000 0.000 2.458
Re 0.000 2.384 0.000
Re 2.384 0.000 0.000
Si 2.384 2.384 2.458
```

Summary:
The formation energy without anion corrections comes out at 2.929 eV/atom. The value obtained for the total energy is -23.7 eV per cell. For the magnetization, the calculation gives 0.1 μB/cell. The space group is P4/mmm (123).

=====

Crystalline ZnTcP2 at its relaxed geometry, computed with PBE.

Structure (extended XYZ):
```
4
Lattice="-1.515 2.044 4.567 1.515 -2.044 4.567 1.515 2.044 -4.567" Properties=species:S:1:pos:R:3 pbc="T T T"
Zn 0.000 0.000 0.000
Tc 1.515 0.000 2.630
P 0.000 0.000 4.528
P 0.000 2.044 2.010
```

Summary:
The value obtained for the total energy is -21.9 eV per cell. The calculation puts the formation energy at 148 meV per atom. For the magnetization, the calculation gives 0.0 μB/cell. The space group is Imm2 (44).

=====

Crystalline Li2HgIO6 at its relaxed geometry, computed with PBE.

Structure (extended XYZ):
```
10
Lattice="2.677 1.546 4.795 -2.677 1.546 4.795 0.000 -3.092 4.795" Properties=species:S:1:pos:R:3 pbc="T T T"
Li 0.000 0.000 0.000
Li 0.000 0.000 6.942
Hg 0.000 0.000 3.955
I 0.000 0.000 11.336
O -1.053 -1.524 5.567
O -1.829 -0.304 7.743
O -0.793 1.674 5.567
O 1.178 -1.432 7.743
O 1.846 -0.150 5.567
O 0.651 1.736 7.743
```

Summary:
The formation energy without anion corrections comes out at -0.751 eV/atom. The value obtained for the total energy is -42.9 eV per cell. For the magnetization, the calculation gives 1.0 μB/cell. The space group is R3 (146).

=====

Crystalline Ac3Mg2Pd3 at its relaxed geometry, computed with PBE.

Structure (extended XYZ):
```
16
Lattice="8.978 0.000 0.000 -4.489 7.775 0.000 0.000 0.000 6.146" Properties=species:S:1:pos:R:3 pbc="T T T"
Ac -1.228 2.127 1.536
Ac -3.261 5.648 4.609
Ac 2.456 0.000 1.536
Ac 1.228 2.127 4.609
Ac 6.522 0.000 4.609
Ac 3.261 5.648 1.536
Mg 0.000 5.183 0.000
Mg 0.000 5.183 3.073
Mg 4.489 2.592 0.000
Mg 4.489 2.592 3.073
Pd -1.778 3.079 4.609
Pd -2.711 4.696 1.536
Pd 3.555 0.000 4.609
Pd 1.778 3.079 1.536
Pd 5.423 0.000 1.536
Pd 2.711 4.696 4.609
```

Summary:
The value obtained for the total energy is -72.0 eV per cell. The calculation puts the formation energy at -611 meV per atom. For the magnetization, the calculation gives 0.0 μB/cell. The space group is P6_3/mcm (193).

=====

Crystalline AlCo3Ir at its relaxed geometry, computed with PBE.

Structure (extended XYZ):
```
5
Lattice="4.537 0.000 0.000 0.000 4.537 0.000 0.000 0.000 4.537" Properties=species:S:1:pos:R:3 pbc="T T T"
Al 0.000 0.000 0.000
Co 0.000 2.269 2.269
Co 2.269 0.000 2.269
Co 2.269 2.269 0.000
Ir 2.269 2.269 2.269
```

Summary:
The calculation puts the distance to the lowest polymorph of the same formula at 105.5 meV/atom. The value obtained for the total energy is -27.6 eV per cell. The calculation puts the formation energy at 1255 meV per atom. For the magnetization, the calculation gives 6.1 μB/cell. The space group is Pm-3m (221).

=====

Crystalline KCa2Mn at its relaxed geometry, computed with PBE.

Structure (extended XYZ):
```
4
Lattice="3.715 -5.903 0.000 3.715 5.903 0.000 -1.383 0.000 3.430" Properties=species:S:1:pos:R:3 pbc="T T T"
K 0.000 0.000 0.000
Ca 1.166 2.951 1.715
Ca 1.166 -2.951 1.715
Mn 3.715 0.000 0.000
```

Summary:
The calculation puts the distance to the lowest polymorph of the same formula at 290.9 meV/atom. The value obtained for the total energy is -11.8 eV per cell. The calculation puts the formation energy at 626 meV per atom. For the magnetization, the calculation gives 4.2 μB/cell. The space group is C2/m (12).